Below is a geometry-optimized PmNd2HgC structure, with properties calculated at the GGA-PBE level.

Energy of formation from the pure elements in eV per atom: -0.22
V in Å³ per cell: 132
Total energy in eV per cell: -24.89

Cell lengths 5.051, 5.110, 5.110 Å; angles 90.00, 90.00, 90.00 degrees
Atoms (fractional coordinates):
Nd 0.000 0.000 0.500
Hg 0.500 0.500 0.500
C 0.000 0.000 0.000
Nd 0.000 0.500 0.000
Pm 0.500 0.000 0.000